Li2CaV12O32 | the Alexandria database | PBE+U | relaxed; M_tot = 0.0 μB per formula unit; space-group type = Cm (8); uncorrected energy = -343.68 eV per cell
1.0
-5.9969 -1.3884 -5.1377
-7.4707 -2.1726 1.9377
-6.6635 10.3205 -0.2443
O V Li Ca
32 12 2 1
Direct
0.9883 0.4910 0.9527
0.9436 0.4044 0.1838
0.0126 0.5145 0.7268
0.3663 0.3663 0.8270
0.1815 0.6820 0.9250
0.9849 0.9849 0.2673
0.8125 0.8125 0.0754
0.0941 0.5948 0.4617
0.5108 0.5108 0.0403
0.6820 0.1815 0.9250
0.8678 0.8678 0.8268
0.4044 0.9436 0.1838
0.5948 0.0941 0.4617
0.2143 0.7128 0.6807
0.0056 0.0056 0.0427
0.4910 0.9883 0.9527
0.2931 0.8203 0.4537
0.0766 0.0766 0.8076
0.1926 0.1926 0.5502
0.1307 0.6295 0.1699
0.4869 0.4869 0.2669
0.5145 0.0126 0.7268
0.4069 0.4069 0.5428
0.9017 0.9017 0.5474
0.6295 0.1307 0.1699
0.6899 0.6899 0.5580
0.3206 0.3206 0.0649
0.5736 0.5736 0.8060
0.8203 0.2931 0.4537
0.7128 0.2143 0.6807
0.2902 0.2902 0.3232
0.7896 0.7896 0.3249
0.5846 0.0842 0.8098
0.5257 0.0279 0.0789
0.4166 0.4166 0.1862
0.0842 0.5846 0.8098
0.3049 0.3049 0.4612
0.9092 0.9092 0.1901
0.4718 0.4718 0.9163
0.9737 0.9737 0.9146
0.8001 0.8001 0.4628
0.0279 0.5257 0.0789
0.1948 0.6971 0.5459
0.6971 0.1948 0.5459
0.3895 0.8577 0.6948
0.8577 0.3895 0.6948
0.1266 0.1266 0.3253